# 1
# LaIrSN2

Crystalline LaIrSN2 at its relaxed geometry (PBE, Alexandria).

The space group is P4/mmm (No. 123) and the conventional cell measures 4.005, 4.005 and 6.157 Å, with angles of 90.00, 90.00 and 90.00 degrees. The asymmetric unit holds La at (0.000, 0.000, 0.000), Ir at (0.500, 0.500, 0.500), S at (0.000, 0.000, 0.500) and N at (0.000, 0.500, 0.000).

The value obtained for the uncorrected formation energy is 1.543 eV per atom. The density of states at the Fermi level is 4.77 states/eV/cell. Its distance to the lowest polymorph of the same formula is 1.7448 eV per atom.

# 2
# Ac2YCd3

Crystalline Ac2YCd3 at its relaxed geometry (PBE, Alexandria).

The space group is P4/mmm (No. 123) and the conventional cell measures 3.902, 3.902 and 12.293 Å, with angles of 90.00, 90.00 and 90.00 degrees. The asymmetric unit holds Ac at (0.000, 0.000, 0.178), Y at (0.000, 0.000, 0.500), Cd at (0.500, 0.500, 0.000) and Cd at (0.500, 0.500, 0.362).

The calculation puts the energy of formation from the pure elements at -0.293 eV/atom. The density of states at the Fermi level is 7.80 states/eV/cell.

# 3
# BaCo2Os

Crystalline BaCo2Os at its relaxed geometry (PBE, Alexandria).

The space group is Pm (No. 6) and the conventional cell measures 4.187, 4.059 and 5.436 Å, with angles of 90.00, 102.87 and 90.00 degrees. The asymmetric unit holds Ba at (0.000, 0.000, 0.000), Co at (0.311, 0.500, 0.630), Co at (0.515, 0.000, 0.485) and Os at (0.771, 0.500, 0.450).

The calculation puts the energy of formation from the pure elements at 0.688 eV/atom. The density of states at the Fermi level is 5.46 states/eV/cell. Its distance to the lowest polymorph of the same formula is 0.3890 eV per atom.

# 4
# LiTbAu3

Crystalline LiTbAu3 at its relaxed geometry (PBE, Alexandria).

The space group is C2/m (No. 12) and the conventional cell measures 17.698, 5.132 and 4.964 Å, with angles of 90.00, 105.59 and 90.00 degrees. The asymmetric unit holds Li at (0.130, 0.000, 0.381), Tb at (0.112, 0.500, 0.875), Au at (0.034, 0.000, 0.782), Au at (0.201, 0.500, 0.460) and Au at (0.206, 0.000, 0.950).

The calculation puts the energy of formation from the pure elements at -0.527 eV/atom. The density of states at the Fermi level is 8.77 states/eV/cell.

# 5
# Rb2FeCuBr6

Crystalline Rb2FeCuBr6 at its relaxed geometry (PBE, Alexandria).

The space group is I4/mmm (No. 139) and the conventional cell measures 7.315, 7.315 and 10.339 Å, with angles of 90.00, 90.00 and 90.00 degrees. The asymmetric unit holds Rb at (0.000, 0.500, 0.250), Fe at (0.000, 0.000, 0.000), Cu at (0.000, 0.000, 0.500), Br at (0.000, 0.000, 0.243) and Br at (0.241, 0.241, 0.000).

The value obtained for the uncorrected formation energy is -0.793 eV per atom. The density of states at the Fermi level is 34.16 states/eV/cell.

# 6
# LaPr3Sm4Te8

Crystalline LaPr3Sm4Te8 at its relaxed geometry (PBE, Alexandria).

The space group is R-3m (No. 166, hexagonal axes) and the conventional cell measures 8.9599, 8.9599 and 22.1818 Å, with angles of 90.00, 90.00 and 120.00 degrees. The asymmetric unit holds La at (0.0000, 0.0000, 0.0000), Pr at (0.0000, 0.5000, 0.0000), Sm at (0.0000, 0.0000, 0.5000), Sm at (0.0000, 0.5000, 0.5000), Te at (0.0000, 0.0000, 0.2476) and Te at (0.0008, 0.5004, 0.2474).

The value obtained for the uncorrected formation energy is -1.429 eV per atom. The density of states at the Fermi level is 38.24 states/eV/cell.

Question: Which formula does entry 5 have?
Answer: Rb2FeCuBr6